The following is a PBE-GGA calculation of a geometry-optimized Li2AgCl structure, from Alexandria.

Cell lengths 3.616, 4.674, 4.674 Å; angles 90.00, 90.02, 90.00 degrees
Sites, in units of the cell vectors:
1 Li 0.000 0.000 0.000
2 Li 0.001 0.500 0.505
3 Ag 0.543 0.500 0.003
4 Cl 0.161 0.000 0.500

Computed properties:
E_form (uncorrected) (meV per atom): -717
Space-group type: Pm, No. 6
Energy relative to the lowest polymorph listed for this composition (meV/atom): 95
Calculated volume (Å³ per atom): 19.75
E (eV per atom): -2.848